First-principles (GGA+U) data for an optimized crystal structure of WINO2, as listed in the Alexandria database.

```
5
Lattice="4.081 0.000 0.000 0.000 4.081 0.000 0.000 0.000 4.163" Properties=species:S:1:pos:R:3 pbc="T T T"
W 0.000 0.000 0.000
I 2.040 2.040 0.000
N 2.040 2.040 2.082
O 0.000 2.040 2.082
O 2.040 0.000 2.082
```

## Properties
theoretical density = 8.5 g/cm³
E = -3.980 eV/atom
space-group type = P4/mmm, No. 123
Fermi-level density of states = 0.15 states/eV per atom
crystal system = tetragonal